## TlTcI3 (SCAN)

Data for TlTcI3 at its PBEsol-relaxed geometry.

Cell: 5.488 5.488 5.488 Å, 90.00 90.00 90.00°
Space group Pm-3m (No. 221)
Symmetry-distinct sites (fractional):
Tl1 0.000 0.000 0.000 (multiplicity 1)
Tc1 0.500 0.500 0.500 (multiplicity 1)
I1 0.000 0.500 0.500 (multiplicity 3)

Calculated values
The value obtained for the density of states at the Fermi level is 2.21 states/eV per cell. The raw formation energy comes out at 0.01 eV/atom.